Computed, not measured: a relaxed Co3BBr crystal at the PBE-GGA level of DFT.

a = 4.3161 Å, b = 4.3161 Å, c = 4.3161 Å
α = 90.00°, β = 90.00°, γ = 90.00°
Element x y z (fractional)
B: 0.5000 0.5000 0.5000
Co: 0.0000 0.5000 0.0000
Co: 0.0000 0.0000 0.5000
Co: 0.5000 0.0000 0.0000
Br: 0.0000 0.0000 0.0000

Values from the calculation:
E: -4.0183 eV per atom